Record 1
Ho2SbO: optimized geometry, PBE-GGA.

The structure in POSCAR format:
```
Ho2SbO
1.0
4.446 0.000 0.000
0.000 4.446 0.000
0.000 0.000 8.698
Ho Sb O
4 2 2
direct
0.250 0.250 0.158
0.250 0.750 0.500
0.750 0.250 0.500
0.750 0.750 0.842
0.250 0.250 0.800
0.750 0.750 0.200
0.250 0.250 0.426
0.750 0.750 0.574
```

Calculated values
Its space group is No. 129.

***

Record 2
Ho2Sb2O7: optimized geometry, PBE-GGA.

The structure in POSCAR format:
```
Ho2Sb2O7
1.0
7.523 0.000 0.000
-3.762 6.515 0.000
0.000 0.000 18.495
Ho Sb O
12 12 42
direct
0.000 0.826 0.167
0.000 0.833 0.667
0.167 0.167 0.000
0.174 0.174 0.500
0.181 0.682 0.511
0.318 0.499 0.844
0.499 0.318 0.156
0.501 0.819 0.178
0.682 0.181 0.489
0.819 0.501 0.822
0.826 0.000 0.833
0.833 0.000 0.333
0.000 0.300 0.167
0.000 0.323 0.667
0.166 0.667 0.001
0.300 0.000 0.833
0.323 0.000 0.333
0.333 0.499 0.334
0.499 0.333 0.666
0.501 0.834 0.667
0.667 0.166 0.999
0.677 0.677 0.000
0.700 0.700 0.500
0.834 0.501 0.333
0.006 0.808 0.028
0.007 0.334 0.790
0.017 0.853 0.784
0.053 0.438 0.307
0.107 0.658 0.893
0.147 0.163 0.118
0.163 0.147 0.882
0.192 0.198 0.361
0.198 0.192 0.639
0.203 0.685 0.638
0.230 0.694 0.106
0.306 0.536 0.439
0.315 0.517 0.972
0.326 0.993 0.456
0.334 0.007 0.210
0.342 0.448 0.227
0.385 0.947 0.973
0.438 0.053 0.693
0.448 0.342 0.773
0.464 0.770 0.773
0.483 0.797 0.305
0.517 0.315 0.028
0.536 0.306 0.561
0.552 0.893 0.560
0.562 0.615 0.640
0.615 0.562 0.360
0.658 0.107 0.107
0.666 0.674 0.123
0.674 0.666 0.877
0.685 0.203 0.362
0.694 0.230 0.894
0.770 0.464 0.227
0.797 0.483 0.695
0.802 0.994 0.694
0.808 0.006 0.972
0.837 0.983 0.451
0.853 0.017 0.216
0.893 0.552 0.440
0.947 0.385 0.027
0.983 0.837 0.549
0.993 0.326 0.544
0.994 0.802 0.306
```

Calculated values
Its space group is No. 152.

***

Record 3
Ho2SbO2: optimized geometry, PBE-GGA.

The structure in POSCAR format:
```
Ho2SbO2
1.0
-1.918 1.918 6.649
1.918 -1.918 6.649
1.918 1.918 -6.649
Ho Sb O
2 1 2
direct
0.166 0.166 0.000
0.834 0.834 0.000
0.500 0.500 0.000
0.250 0.750 0.500
0.750 0.250 0.500
```

Calculated values
Its space group is No. 139.

***

Record 4
Ho3SbO3: optimized geometry, PBE-GGA.

The structure in POSCAR format:
```
Ho3SbO3
1.0
6.528 -1.926 0.000
6.528 1.926 0.000
-5.560 0.000 10.287
Ho Sb O
6 2 6
direct
0.121 0.121 0.442
0.128 0.128 0.901
0.343 0.343 0.793
0.657 0.657 0.207
0.872 0.872 0.099
0.879 0.879 0.558
0.382 0.382 0.320
0.618 0.618 0.680
0.063 0.063 0.192
0.311 0.311 0.591
0.337 0.337 0.986
0.663 0.663 0.014
0.689 0.689 0.409
0.937 0.937 0.808
```

Calculated values
Its space group is No. 12.

***

Calculated values (eV/atom) of formation energy without anion corrections for the records, taken in order: -2.034, -2.386, -2.738, -2.868.
Calculated values (meV per atom) of energy above the lowest structure with this stoichiometry for the records, taken in order: 0.0, 0.0, 0.0, 0.0.